No. 1
## BeCu2P (PBE)

Data for a relaxed structure of BeCu2P.

## Properties
Energy relative to the elements ... 82 meV per atom
DFT total energy ... -4.250 eV per atom

```
BeCu2P
1.0
-1.756 1.756 3.705
1.756 -1.756 3.705
1.756 1.756 -3.705
Be Cu P
1 2 1
direct
0.000 0.000 0.000 Be
0.250 0.750 0.500 Cu
0.750 0.250 0.500 Cu
0.500 0.500 0.000 P
```


No. 2
## NaCaLa2Os (PBE)

Data for a relaxed structure of NaCaLa2Os.

## Properties
Energy relative to the elements ... 184 meV per atom
DFT total energy ... -4.697 eV per atom

```
NaCaLa2Os
1.0
5.463 0.000 0.000
0.000 5.463 0.000
0.000 0.000 6.071
Na Ca La Os
1 1 2 1
direct
0.000 0.000 0.000 Na
0.500 0.500 0.000 Ca
0.000 0.500 0.500 La
0.500 0.000 0.500 La
0.000 0.000 0.500 Os
```


No. 3
## Rb7SbH12 (PBE)

Data for a relaxed structure of Rb7SbH12.

## Properties
DFT total energy ... -2.541 eV per atom

```
Rb7SbH12
1.0
5.911 3.413 3.669
-5.911 3.413 3.669
0.000 -6.826 3.669
Rb Sb H
7 1 12
direct
0.000 0.000 0.000 Rb
0.073 0.593 0.299 Rb
0.299 0.073 0.593 Rb
0.407 0.701 0.927 Rb
0.593 0.299 0.073 Rb
0.701 0.927 0.407 Rb
0.927 0.407 0.701 Rb
0.500 0.500 0.500 Sb
0.096 0.772 0.681 H
0.228 0.319 0.904 H
0.274 0.418 0.527 H
0.319 0.904 0.228 H
0.418 0.527 0.274 H
0.473 0.726 0.582 H
0.527 0.274 0.418 H
0.582 0.473 0.726 H
0.681 0.096 0.772 H
0.726 0.582 0.473 H
0.772 0.681 0.096 H
0.904 0.228 0.319 H
```


No. 4
## Y5Ge (PBE)

Data for a relaxed structure of Y5Ge.

## Properties
Energy relative to the elements ... -181 meV per atom
DFT total energy ... -6.337 eV per atom

```
Y5Ge
1.0
2.363 -7.437 0.000
2.363 7.437 0.000
0.000 0.000 4.836
Y Ge
5 1
direct
0.000 0.000 0.000 Y
0.156 0.844 0.500 Y
0.335 0.665 0.000 Y
0.665 0.335 0.000 Y
0.844 0.156 0.500 Y
0.500 0.500 0.500 Ge
```


No. 5
## Mg2AlAu8 (PBE)

Data for a relaxed structure of Mg2AlAu8.

## Properties
Energy relative to the elements ... -365 meV per atom
DFT total energy ... -3.379 eV per atom

```
Mg2AlAu8
1.0
-2.295 3.142 6.898
2.295 -3.142 6.898
2.295 3.142 -6.898
Mg Al Au
2 1 8
direct
0.190 0.190 0.000 Mg
0.810 0.810 0.000 Mg
0.500 0.500 0.000 Al
0.092 0.365 0.728 Au
0.241 0.000 0.241 Au
0.318 0.818 0.500 Au
0.363 0.635 0.728 Au
0.637 0.365 0.272 Au
0.682 0.182 0.500 Au
0.759 0.000 0.759 Au
0.908 0.635 0.272 Au
```


No. 6
## BaZn2MoN (PBE)

Data for a relaxed structure of BaZn2MoN.

## Properties
Raw formation energy ... 570 meV/atom
DFT total energy ... -4.155 eV per atom

```
BaZn2MoN
1.0
5.360 0.000 0.000
0.000 5.360 0.000
0.000 0.000 3.896
Ba Zn Mo N
1 2 1 1
direct
0.000 0.000 0.000 Ba
0.000 0.500 0.500 Zn
0.500 0.000 0.500 Zn
0.500 0.500 0.000 Mo
0.500 0.500 0.500 N
```


No. 7
## Tl2ReOs (PBE)

Data for a relaxed structure of Tl2ReOs.

## Properties
Energy relative to the elements ... 945 meV per atom
DFT total energy ... -6.158 eV per atom

```
Tl2ReOs
1.0
5.027 -1.554 0.000
5.027 1.554 0.000
-2.907 0.000 5.382
Tl Re Os
2 1 1
direct
0.000 0.000 0.000 Tl
0.184 0.184 0.634 Tl
0.410 0.410 0.486 Re
0.773 0.773 0.146 Os
```


No. 8
## ReNiHg (PBE)

Data for a relaxed structure of ReNiHg.

## Properties
Energy relative to the elements ... 340 meV per atom
DFT total energy ... -5.837 eV per atom

```
ReNiHg
1.0
2.734 0.000 0.000
0.000 4.323 0.000
-1.281 0.000 8.502
Re Ni Hg
2 2 2
direct
0.037 0.250 0.082 Re
0.963 0.750 0.918 Re
0.420 0.250 0.827 Ni
0.580 0.750 0.173 Ni
0.314 0.750 0.609 Hg
0.686 0.250 0.391 Hg
```


No. 9
## Nd5DyHg4 (PBE)

Data for a relaxed structure of Nd5DyHg4.

## Properties
Energy relative to the elements ... -363 meV per atom
DFT total energy ... -3.328 eV per atom

```
Nd5DyHg4
1.0
3.801 0.000 0.000
0.000 3.801 0.000
0.000 0.000 20.359
Nd Dy Hg
5 1 4
direct
0.000 0.000 0.000 Nd
0.000 0.000 0.190 Nd
0.000 0.000 0.381 Nd
0.000 0.000 0.619 Nd
0.000 0.000 0.810 Nd
0.500 0.500 0.500 Dy
0.500 0.500 0.095 Hg
0.500 0.500 0.289 Hg
0.500 0.500 0.711 Hg
0.500 0.500 0.905 Hg
```


No. 10
## Y2SbTeH (PBE)

Data for a relaxed structure of Y2SbTeH.

## Properties
DFT total energy ... -5.020 eV per atom

```
Y2SbTeH
1.0
5.777 0.000 0.000
0.000 5.777 0.000
0.000 0.000 3.984
Y Sb Te H
2 1 1 1
direct
0.000 0.500 0.000 Y
0.500 0.000 0.000 Y
0.000 0.000 0.500 Sb
0.500 0.500 0.000 Te
0.500 0.500 0.500 H
```


No. 11
## CaAc3Be2O8 (PBE)

Data for a relaxed structure of CaAc3Be2O8.

## Properties
Raw formation energy ... -2847 meV/atom
DFT total energy ... -7.236 eV per atom

```
CaAc3Be2O8
1.0
5.554 0.000 0.000
-2.777 4.810 0.000
0.000 0.000 7.175
Ca Ac Be O
1 3 2 8
direct
0.000 0.000 0.000 Ca
0.000 0.000 0.500 Ac
0.333 0.667 0.167 Ac
0.667 0.333 0.833 Ac
0.333 0.667 0.705 Be
0.667 0.333 0.295 Be
0.176 0.352 0.796 O
0.176 0.824 0.796 O
0.333 0.667 0.482 O
0.352 0.176 0.204 O
0.648 0.824 0.796 O
0.667 0.333 0.518 O
0.824 0.176 0.204 O
0.824 0.648 0.204 O
```


No. 12
## La9Nd2Y (PBE)

Data for a relaxed structure of La9Nd2Y.

## Properties
Energy relative to the elements ... 5 meV per atom
DFT total energy ... -5.024 eV per atom

```
La9Nd2Y
1.0
5.236 0.000 0.000
0.000 5.236 0.000
0.000 0.000 15.710
La Nd Y
9 2 1
direct
0.000 0.000 0.000 La
0.000 0.000 0.333 La
0.000 0.000 0.667 La
0.000 0.500 0.166 La
0.000 0.500 0.500 La
0.000 0.500 0.834 La
0.500 0.000 0.166 La
0.500 0.000 0.500 La
0.500 0.000 0.834 La
0.500 0.500 0.332 Nd
0.500 0.500 0.668 Nd
0.500 0.500 0.000 Y
```


No. 13
## RbGeP (PBE)

Data for a relaxed structure of RbGeP.

## Properties
Energy relative to the elements ... -254 meV per atom
DFT total energy ... -3.919 eV per atom

```
RbGeP
1.0
-3.208 3.275 4.519
3.208 -3.275 4.519
3.208 3.275 -4.519
Rb Ge P
2 2 2
direct
0.000 0.000 0.000 Rb
0.747 0.247 0.500 Rb
0.355 0.654 0.701 Ge
0.954 0.654 0.299 Ge
0.346 0.019 0.673 P
0.346 0.673 0.327 P
```


No. 14
## NaNd2PaS6 (PBE)

Data for a relaxed structure of NaNd2PaS6.

## Properties
Raw formation energy ... -1754 meV/atom
DFT total energy ... -6.265 eV per atom

```
NaNd2PaS6
1.0
3.555 2.052 6.273
-3.555 2.052 6.273
0.000 -4.105 6.273
Na Nd Pa S
1 2 1 6
direct
0.000 0.000 0.000 Na
0.282 0.282 0.282 Nd
0.793 0.793 0.793 Nd
0.484 0.484 0.484 Pa
0.102 0.672 0.405 S
0.219 0.591 0.859 S
0.405 0.102 0.672 S
0.591 0.859 0.219 S
0.672 0.405 0.102 S
0.859 0.219 0.591 S
```